Record 1
VASP calculation (PBE) on a relaxed structure of LiAl3Ag7.

Cell: 9.666 9.600 4.779 Å, 90.00 117.95 90.00°
Space group C2/m (No. 12)
Symmetry-distinct sites (fractional):
Li: 0.000 0.000 0.000 (multiplicity 2)
Al: 0.000 0.271 0.500 (multiplicity 4)
Al: 0.000 0.500 0.000 (multiplicity 2)
Ag: 0.000 0.000 0.500 (multiplicity 2)
Ag: 0.179 0.285 0.181 (multiplicity 8)
Ag: 0.185 0.500 0.679 (multiplicity 4)

Results
Final energy   -2.99 eV/atom
Crystal system   monoclinic
Formation energy from the elements   0.02 eV/atom

Record 2
VASP calculation (PBE) on a relaxed structure of Li2Al2Ag.

Cell: 9.592 4.922 7.327 Å, 90.00 113.10 90.00°
Space group C2/c (No. 15)
Symmetry-distinct sites (fractional):
Li: 0.094 0.164 0.445 (multiplicity 8)
Al: 0.207 0.334 0.152 (multiplicity 8)
Ag: 0.000 0.342 0.750 (multiplicity 4)

Results
Final energy   -3.02 eV/atom
Energy above the most stable polymorph in this dataset   40 meV/atom
Crystal system   monoclinic
Formation energy from the elements   -0.18 eV/atom

Record 3
VASP calculation (PBE) on a relaxed structure of Li2Al3Ag7.

Cell: 4.329 4.096 12.615 Å, 90.00 99.66 90.00°
Space group P2/m (No. 10)
Symmetry-distinct sites (fractional):
Li: 0.156 0.000 0.311 (multiplicity 2)
Al: 0.000 0.000 0.000 (multiplicity 1)
Al: 0.352 0.500 0.702 (multiplicity 2)
Ag: 0.080 0.500 0.159 (multiplicity 2)
Ag: 0.284 0.000 0.569 (multiplicity 2)
Ag: 0.420 0.000 0.842 (multiplicity 2)
Ag: 0.500 0.500 0.000 (multiplicity 1)

Results
Final energy   -2.93 eV/atom
Crystal system   monoclinic
Formation energy from the elements   -0.01 eV/atom